[1]
# GGA-PBE YMg2AlAu4, relaxed
data_YMg2AlAu4
_cell_length_a 4.5946
_cell_length_b 4.5946
_cell_length_c 25.3513
_cell_angle_alpha 90.00
_cell_angle_beta 90.00
_cell_angle_gamma 120.00
_symmetry_space_group_name_H-M 'R -3 m'
_symmetry_Int_Tables_number 166
_symmetry_space_group_name_Hall '-R 3 2"'
loop_
_atom_site_label
_atom_site_type_symbol
_atom_site_fract_x
_atom_site_fract_y
_atom_site_fract_z
_atom_site_occupancy
Y1 Y 0.0000 0.0000 0.0000 1
Mg1 Mg 0.0000 0.0000 0.2440 1
Al1 Al 0.0000 0.0000 0.5000 1
Au1 Au 0.0000 0.0000 0.1301 1
Au2 Au 0.0000 0.0000 0.3926 1
# Magnetization, Bohr magnetons per cell: 0.0
# Formation energy from the elements, eV per atom: -0.62
# Total DFT energy (no corrections), eV per atom: -3.93

---

[2]
# GGA-PBE Sc4TlTe, relaxed
data_Sc4TlTe
_cell_length_a 8.395
_cell_length_b 8.395
_cell_length_c 8.395
_cell_angle_alpha 90.00
_cell_angle_beta 90.00
_cell_angle_gamma 90.00
_symmetry_space_group_name_H-M 'F -4 3 m'
_symmetry_Int_Tables_number 216
_symmetry_space_group_name_Hall 'F -4 2 3'
loop_
_atom_site_label
_atom_site_type_symbol
_atom_site_fract_x
_atom_site_fract_y
_atom_site_fract_z
_atom_site_occupancy
Sc1 Sc 0.124 0.124 0.376 1
Tl1 Tl 0.250 0.250 0.750 1
Te1 Te 0.000 0.000 0.000 1
# Magnetization, Bohr magnetons per cell: 0.0
# Raw formation energy, eV per formula unit: 0.104
# Total DFT energy (no corrections), eV per atom: -5.12

---

[3]
# GGA-PBE RbTl2NiHg, relaxed
data_RbTl2NiHg
_cell_length_a 5.222
_cell_length_b 5.222
_cell_length_c 5.342
_cell_angle_alpha 90.00
_cell_angle_beta 90.00
_cell_angle_gamma 90.00
_symmetry_space_group_name_H-M 'P 4/m m m'
_symmetry_Int_Tables_number 123
_symmetry_space_group_name_Hall '-P 4 2'
loop_
_atom_site_label
_atom_site_type_symbol
_atom_site_fract_x
_atom_site_fract_y
_atom_site_fract_z
_atom_site_occupancy
Rb1 Rb 0.000 0.000 0.000 1
Tl1 Tl 0.000 0.500 0.500 1
Ni1 Ni 0.500 0.500 0.500 1
Hg1 Hg 0.500 0.500 0.000 1
# Magnetization, Bohr magnetons per cell: 0.0
# Formation energy from the elements, eV per atom: -0.02
# Total DFT energy (no corrections), eV per atom: -2.37

---

[4]
# GGA-PBE BaCrAg2Ru, relaxed
data_BaCrAg2Ru
_cell_length_a 5.683
_cell_length_b 5.683
_cell_length_c 5.049
_cell_angle_alpha 90.00
_cell_angle_beta 90.00
_cell_angle_gamma 90.00
_symmetry_space_group_name_H-M 'P 4/m m m'
_symmetry_Int_Tables_number 123
_symmetry_space_group_name_Hall '-P 4 2'
loop_
_atom_site_label
_atom_site_type_symbol
_atom_site_fract_x
_atom_site_fract_y
_atom_site_fract_z
_atom_site_occupancy
Ba1 Ba 0.000 0.000 0.000 1
Cr1 Cr 0.500 0.500 0.500 1
Ag1 Ag 0.000 0.500 0.000 1
Ru1 Ru 0.000 0.000 0.500 1
# Magnetization, Bohr magnetons per cell: 0.3
# Formation energy from the elements, eV per atom: 2.36
# Total DFT energy (no corrections), eV per atom: -2.94

---

[5]
# GGA-PBE TmPaAl2, relaxed
data_TmPaAl2
_cell_length_a 3.2203
_cell_length_b 3.2203
_cell_length_c 30.4267
_cell_angle_alpha 90.00
_cell_angle_beta 90.00
_cell_angle_gamma 120.00
_symmetry_space_group_name_H-M 'R -3 m'
_symmetry_Int_Tables_number 166
_symmetry_space_group_name_Hall '-R 3 2"'
loop_
_atom_site_label
_atom_site_type_symbol
_atom_site_fract_x
_atom_site_fract_y
_atom_site_fract_z
_atom_site_occupancy
Tm1 Tm 0.0000 0.0000 0.0000 1
Pa1 Pa 0.0000 0.0000 0.5000 1
Al1 Al 0.0000 0.0000 0.2509 1
# Magnetization, Bohr magnetons per cell: 0.0
# Formation energy from the elements, eV per atom: -0.06
# Energy above the lowest structure with this stoichiometry, meV/atom: 182
# Total DFT energy (no corrections), eV per atom: -5.43

---

[6]
# GGA-PBE PuNpS2, relaxed
data_PuNpS2
_cell_length_a 3.8892
_cell_length_b 3.8892
_cell_length_c 13.2493
_cell_angle_alpha 90.00
_cell_angle_beta 90.00
_cell_angle_gamma 120.00
_symmetry_space_group_name_H-M 'P 63/m m c'
_symmetry_Int_Tables_number 194
_symmetry_space_group_name_Hall '-P 6c 2c'
loop_
_atom_site_label
_atom_site_type_symbol
_atom_site_fract_x
_atom_site_fract_y
_atom_site_fract_z
_atom_site_occupancy
Pu1 Pu 0.3333 0.6667 0.2500 1
Np1 Np 0.0000 0.0000 0.0000 1
S1 S 0.3333 0.6667 0.6206 1
# Magnetization, Bohr magnetons per cell: 20.0
# Raw formation energy, eV per formula unit: -6.057
# Energy above the lowest structure with this stoichiometry, meV/atom: 39
# Total DFT energy (no corrections), eV per atom: -10.40

---

[7]
# GGA-PBE MnZn6Cu8, relaxed
data_MnZn6Cu8
_cell_length_a 6.5239
_cell_length_b 6.5239
_cell_length_c 16.1622
_cell_angle_alpha 90.00
_cell_angle_beta 90.00
_cell_angle_gamma 120.00
_symmetry_space_group_name_H-M 'R -3'
_symmetry_Int_Tables_number 148
_symmetry_space_group_name_Hall '-R 3'
loop_
_atom_site_label
_atom_site_type_symbol
_atom_site_fract_x
_atom_site_fract_y
_atom_site_fract_z
_atom_site_occupancy
Mn1 Mn 0.0000 0.0000 0.0000 1
Zn1 Zn 0.0096 0.2426 0.7145 1
Cu1 Cu 0.0000 0.0000 0.4201 1
Cu2 Cu 0.0521 0.7974 0.1321 1
# Magnetization, Bohr magnetons per cell: 11.9
# Formation energy from the elements, eV per atom: 0.01
# Energy above the lowest structure with this stoichiometry, meV/atom: 0
# Total DFT energy (no corrections), eV per atom: -3.30

---

[8]
# GGA-PBE LiCeAg2Cl8, relaxed
data_LiCeAg2Cl8
_cell_length_a 6.371
_cell_length_b 7.671
_cell_length_c 6.731
_cell_angle_alpha 90.00
_cell_angle_beta 96.51
_cell_angle_gamma 90.00
_symmetry_space_group_name_H-M 'P 1 2/m 1'
_symmetry_Int_Tables_number 10
loop_
_symmetry_equiv_pos_as_xyz
'x,y,z'
'-x,-y,-z'
'-x,y,-z'
'x,-y,z'
loop_
_atom_site_label
_atom_site_type_symbol
_atom_site_fract_x
_atom_site_fract_y
_atom_site_fract_z
_atom_site_occupancy
Li1 Li 0.000 0.000 0.000 1
Ce1 Ce 0.000 0.500 0.000 1
Ag1 Ag 0.500 0.235 0.500 1
Cl1 Cl 0.209 0.250 0.849 1
Cl2 Cl 0.267 0.000 0.333 1
Cl3 Cl 0.286 0.500 0.339 1
# Magnetization, Bohr magnetons per cell: 0.5
# Raw formation energy, eV per formula unit: -14.981
# Total DFT energy (no corrections), eV per atom: -3.61

---

What is the formula in the eighth record? LiCeAg2Cl8

---

Which value of total DFT energy (no corrections) does entry 6 give? -10.40 eV per atom

---

Which formula does entry 5 have? TmPaAl2

---

total DFT energy (no corrections) of number 3 (RbTl2NiHg)? -2.37 eV per atom